[1]
GGA-PBE Er2AlSi, relaxed; symmetry = P2_1/m (11); calculated volume = 182.14 Å³ per cell; mass density = 7.103 g/cm³; calculated total energy = -5.213 eV per atom
1.0
-1.765 -3.102 1.677
3.096 -3.561 -3.328
3.984 1.765 7.456
Al Si Er
2 2 4
Direct
0.750 0.651 0.287
0.250 0.349 0.713
0.250 0.349 0.209
0.750 0.651 0.791
0.250 0.778 0.576
0.250 0.785 0.066
0.750 0.215 0.934
0.750 0.222 0.424

---

[2]
GGA-PBE Er2AlSi, relaxed; symmetry = Amm2 (38); calculated volume = 90.97 Å³ per cell; mass density = 7.111 g/cm³; calculated total energy = -5.218 eV per atom
1.0
4.131 0.000 -1.181
0.000 3.954 0.000
-0.594 0.000 5.739
Er Al Si
2 1 1
Direct
0.086 0.000 0.172
0.803 0.500 0.607
0.373 0.000 0.745
0.522 0.500 0.044

---

[3]
GGA-PBE Er2AlSi, relaxed; symmetry = Pmc2_1 (26); calculated volume = 181.58 Å³ per cell; mass density = 7.125 g/cm³; calculated total energy = -5.213 eV per atom
1.0
-2.227 1.379 -2.972
-4.442 -3.180 1.852
-2.398 6.025 4.593
Er Si Al
4 2 2
Direct
0.500 0.642 0.822
0.000 0.128 0.679
0.500 0.358 0.322
0.000 0.872 0.179
0.500 0.123 0.962
0.500 0.877 0.462
0.000 0.622 0.537
0.000 0.378 0.037

---

[4]
GGA-PBE Er3Al12Si5, relaxed; symmetry = Ia-3d (230); calculated volume = 1919.96 Å³ per cell; mass density = 3.342 g/cm³; calculated total energy = -3.962 eV per atom
1.0
-12.921 3.585 -2.024
0.757 -8.356 10.655
7.441 11.079 2.406
Al Er Si
48 12 20
Direct
0.183 0.118 0.711
0.817 0.935 0.027
0.382 0.093 0.565
0.565 0.593 0.382
0.211 0.527 0.593
0.065 0.882 0.093
0.093 0.711 0.527
0.027 0.593 0.711
0.317 0.789 0.382
0.711 0.093 0.027
0.817 0.882 0.289
0.907 0.289 0.473
0.565 0.973 0.683
0.683 0.211 0.618
0.382 0.289 0.317
0.527 0.211 0.093
0.593 0.565 0.882
0.435 0.407 0.618
0.183 0.065 0.973
0.407 0.973 0.789
0.289 0.907 0.973
0.618 0.711 0.683
0.118 0.183 0.211
0.027 0.435 0.817
0.527 0.317 0.935
0.435 0.027 0.317
0.973 0.407 0.289
0.935 0.118 0.907
0.882 0.065 0.593
0.618 0.907 0.435
0.473 0.789 0.907
0.935 0.817 0.527
0.789 0.317 0.882
0.683 0.473 0.565
0.473 0.683 0.065
0.211 0.683 0.118
0.593 0.027 0.211
0.789 0.473 0.407
0.118 0.935 0.407
0.882 0.817 0.789
0.093 0.382 0.065
0.907 0.618 0.935
0.289 0.382 0.817
0.065 0.183 0.473
0.317 0.527 0.435
0.407 0.435 0.118
0.973 0.565 0.183
0.711 0.618 0.183
0.750 0.375 0.125
0.875 0.750 0.125
0.125 0.250 0.875
0.250 0.625 0.875
0.125 0.875 0.750
0.875 0.125 0.250
0.250 0.125 0.375
0.625 0.250 0.375
0.375 0.750 0.625
0.750 0.875 0.625
0.375 0.625 0.250
0.625 0.375 0.750
0.125 0.750 0.375
0.500 0.500 0.000
0.625 0.750 0.875
0.375 0.125 0.750
0.500 0.000 0.500
0.375 0.250 0.125
0.500 0.000 0.000
0.750 0.125 0.875
0.500 0.500 0.500
0.875 0.625 0.750
0.250 0.875 0.125
0.000 0.000 0.500
0.250 0.375 0.625
0.000 0.500 0.000
0.875 0.250 0.625
0.125 0.375 0.250
0.000 0.500 0.500
0.000 0.000 0.000
0.750 0.625 0.375
0.625 0.875 0.250

---

[5]
GGA-PBE Er3Al4Si2, relaxed; symmetry = C2/m (12); calculated volume = 182.15 Å³ per cell; mass density = 6.070 g/cm³; calculated total energy = -4.894 eV per atom
1.0
-2.315 1.043 3.374
-3.297 -0.745 -4.674
0.981 -7.690 3.050
Al Si Er
4 2 3
Direct
0.271 0.542 0.934
0.729 0.458 0.066
0.953 0.906 0.621
0.047 0.094 0.379
0.389 0.779 0.722
0.611 0.221 0.278
0.670 0.340 0.660
0.330 0.660 0.340
0.000 0.000 0.000

---

[6]
GGA-PBE Er2AlSi2, relaxed; symmetry = Immm (71); calculated volume = 99.45 Å³ per cell; mass density = 6.974 g/cm³; calculated total energy = -5.459 eV per atom
1.0
5.542 -0.010 -0.006
1.136 5.425 0.006
-2.617 -3.598 3.305
Er Si Al
2 2 1
Direct
0.711 0.211 0.500
0.289 0.789 0.500
0.289 0.500 0.789
0.711 0.500 0.211
0.000 0.000 0.000

---

[7]
GGA-PBE Er4Al5Si6, relaxed; symmetry = Cmc2_1 (36); calculated volume = 583.05 Å³ per cell; mass density = 5.539 g/cm³; calculated total energy = -5.039 eV per atom
1.0
-2.918 2.335 -1.789
-4.399 -2.998 8.058
5.135 11.979 7.260
Er Al Si
8 10 12
Direct
0.039 0.079 0.768
0.838 0.676 0.808
0.015 0.030 0.499
0.985 0.970 0.999
0.961 0.921 0.268
0.162 0.324 0.308
0.819 0.639 0.445
0.181 0.361 0.945
0.152 0.304 0.627
0.339 0.677 0.280
0.661 0.323 0.780
0.693 0.387 0.117
0.644 0.288 0.474
0.445 0.890 0.681
0.356 0.712 0.974
0.307 0.613 0.617
0.848 0.696 0.127
0.555 0.110 0.181
0.767 0.534 0.260
0.110 0.219 0.118
0.890 0.781 0.618
0.217 0.433 0.487
0.573 0.146 0.909
0.427 0.854 0.129
0.233 0.466 0.760
0.551 0.103 0.353
0.427 0.854 0.409
0.573 0.146 0.629
0.783 0.567 0.987
0.449 0.897 0.853

---

[8]
GGA-PBE Er4Al5Si2, relaxed; symmetry = P2/m (10); calculated volume = 232.28 Å³ per cell; mass density = 6.149 g/cm³; calculated total energy = -4.846 eV per atom
1.0
-3.490 2.460 -0.205
-1.976 -3.273 -5.632
-4.135 -5.530 4.039
Er Al Si
4 5 2
Direct
0.500 0.789 0.864
0.500 0.211 0.136
0.500 0.761 0.409
0.500 0.239 0.591
0.000 0.454 0.337
0.000 0.546 0.663
0.000 0.140 0.870
0.000 0.860 0.130
0.000 0.500 0.000
0.000 0.918 0.633
0.000 0.082 0.367

---

[9]
GGA-PBE ErTmAlSi, relaxed; symmetry = Amm2 (38); calculated volume = 90.31 Å³ per cell; mass density = 7.194 g/cm³; calculated total energy = -5.191 eV per atom
1.0
4.283 0.000 0.000
0.000 3.948 0.000
-2.141 0.000 5.341
Si Tm Er Al
1 1 1 1
Direct
0.424 0.000 0.847
0.860 0.500 0.720
0.143 0.000 0.286
0.573 0.500 0.147

---

[10]
GGA-PBE YErAlSi, relaxed; symmetry = Amm2 (38); calculated volume = 92.46 Å³ per cell; mass density = 5.589 g/cm³; calculated total energy = -5.710 eV per atom
1.0
4.321 0.000 0.000
0.000 3.972 0.000
-2.161 0.000 5.387
Al Si Y Er
1 1 1 1
Direct
0.427 0.000 0.853
0.575 0.500 0.150
0.140 0.000 0.281
0.858 0.500 0.715

---

[11]
GGA-PBE Sm2ErAl, relaxed; symmetry = P4/mmm (123); relative energy among the computed polymorphs = 0.0112 eV per atom; calculated volume = 111.11 Å³ per cell; mass density = 7.397 g/cm³; DFT formation energy = -175 meV/atom
1.0
-3.557 2.733 1.759
0.138 -2.470 4.116
3.236 3.089 1.745
Al Er Sm
1 1 2
Direct
0.500 0.000 0.000
0.500 0.500 0.500
0.000 0.500 0.000
0.000 0.000 0.500

---

[12]
GGA-PBE SmEr5Al2, relaxed; symmetry = Immm (71); calculated volume = 222.69 Å³ per cell; mass density = 7.759 g/cm³; DFT formation energy = -102 meV/atom
1.0
-1.249 -2.869 -1.633
5.500 -1.154 -5.994
4.852 -5.950 2.928
Er Sm Al
5 1 2
Direct
0.363 0.411 0.863
0.637 0.589 0.137
0.637 0.137 0.589
0.000 0.500 0.500
0.363 0.863 0.411
0.000 0.000 0.000
0.743 0.757 0.757
0.257 0.243 0.243